Os5C: optimized geometry, PBE.

The structure in CIF format:
```
data_Os5C
_cell_length_a 6.721
_cell_length_b 6.721
_cell_length_c 4.714
_cell_angle_alpha 70.22
_cell_angle_beta 70.22
_cell_angle_gamma 23.97
_symmetry_space_group_name_H-M 'P 1'
_symmetry_Int_Tables_number 1
_symmetry_space_group_name_Hall 'P 1'
loop_
_atom_site_label
_atom_site_type_symbol
_atom_site_fract_x
_atom_site_fract_y
_atom_site_fract_z
Os1 Os 0.741 0.741 0.041
Os2 Os 0.422 0.422 0.823
Os3 Os 0.316 0.316 0.441
Os4 Os 0.633 0.633 0.621
Os5 Os 0.028 0.028 0.329
C1 C 0.028 0.028 0.912
```

Results
- Energy of formation: 0.48 eV per atom
- Relative energy among the computed polymorphs: 0.017 eV/atom

***

OsC5: optimized geometry, PBE.

The structure in CIF format:
```
data_OsC5
_cell_length_a 3.773
_cell_length_b 3.773
_cell_length_c 5.582
_cell_angle_alpha 79.79
_cell_angle_beta 79.79
_cell_angle_gamma 41.03
_symmetry_space_group_name_H-M 'P 1'
_symmetry_Int_Tables_number 1
_symmetry_space_group_name_Hall 'P 1'
loop_
_atom_site_label
_atom_site_type_symbol
_atom_site_fract_x
_atom_site_fract_y
_atom_site_fract_z
Os1 Os 0.283 0.283 0.092
C1 C 0.977 0.977 0.716
C2 C 0.544 0.544 0.203
C3 C 0.655 0.655 0.381
C4 C 0.600 0.600 0.655
C5 C 0.774 0.774 0.787
```

Results
- Energy of formation: 1.02 eV per atom
- Relative energy among the computed polymorphs: 0.000 eV/atom